# CsMo3Se3, relaxed, DFT PBE
# ΔE_f (raw)   -0.743 eV per atom
# Total magnetic moment   0.00 μB/atom
# N(E_F)   1.2 states/eV/f.u.
# V   376.80 Å³/cell
data_CsMo3Se3
_cell_length_a 9.7993
_cell_length_b 9.7993
_cell_length_c 4.5310
_cell_angle_alpha 90.00
_cell_angle_beta 90.00
_cell_angle_gamma 120.00
_symmetry_space_group_name_H-M 'P 63/m'
_symmetry_Int_Tables_number 176
_symmetry_space_group_name_Hall '-P 6c'
loop_
_atom_site_label
_atom_site_type_symbol
_atom_site_fract_x
_atom_site_fract_y
_atom_site_fract_z
Cs1 Cs 0.3333 0.6667 0.2500
Mo1 Mo 0.0249 0.8568 0.2500
Se1 Se 0.0504 0.7174 0.7500

***

# KSn2AsS, relaxed, DFT PBE
# ΔE_f (raw)   0.158 eV per atom
# Total magnetic moment   0.00 μB/atom
# N(E_F)   3.4 states/eV/f.u.
# V   159.44 Å³/cell
data_KSn2AsS
_cell_length_a 5.5904
_cell_length_b 5.5904
_cell_length_c 5.1018
_cell_angle_alpha 90.00
_cell_angle_beta 90.00
_cell_angle_gamma 90.00
_symmetry_space_group_name_H-M 'P 4/m m m'
_symmetry_Int_Tables_number 123
_symmetry_space_group_name_Hall '-P 4 2'
loop_
_atom_site_label
_atom_site_type_symbol
_atom_site_fract_x
_atom_site_fract_y
_atom_site_fract_z
K1 K 0.0000 0.0000 0.0000
Sn1 Sn 0.0000 0.5000 0.5000
As1 As 0.5000 0.5000 0.5000
S1 S 0.5000 0.5000 0.0000

***

# SrSn2SF, relaxed, DFT PBE
# ΔE_f (raw)   -0.296 eV per atom
# Total magnetic moment   0.19 μB/atom
# N(E_F)   4.6 states/eV/f.u.
# V   173.85 Å³/cell
data_SrSn2SF
_cell_length_a 6.2998
_cell_length_b 6.2998
_cell_length_c 4.3806
_cell_angle_alpha 90.00
_cell_angle_beta 90.00
_cell_angle_gamma 90.00
_symmetry_space_group_name_H-M 'P 4/m m m'
_symmetry_Int_Tables_number 123
_symmetry_space_group_name_Hall '-P 4 2'
loop_
_atom_site_label
_atom_site_type_symbol
_atom_site_fract_x
_atom_site_fract_y
_atom_site_fract_z
Sr1 Sr 0.0000 0.0000 0.0000
Sn1 Sn 0.0000 0.5000 0.0000
S1 S 0.5000 0.5000 0.5000
F1 F 0.0000 0.0000 0.5000